Entry from the Alexandria database: Sr2AlO after structural relaxation (PBE).

The value obtained for the formation energy without anion corrections is -316 meV/atom. The calculation puts the energy above the lowest structure with this stoichiometry at 325 kJ/mol of formula units.

The space group is Fm-3m (No. 225) and the conventional cell measures 7.499, 7.499 and 7.499 Å, with angles of 90.00, 90.00 and 90.00 degrees. The distinct sites, in fractional coordinates, are Sr at (0.250, 0.250, 0.250), Al at (0.000, 0.000, 0.000) and O at (0.000, 0.000, 0.500).

---

Entry from the Alexandria database: SrAlO3 after structural relaxation (PBE).

The value obtained for the formation energy without anion corrections is -2577 meV/atom.

The space group is C2/m (No. 12) and the conventional cell measures 12.031, 3.629 and 6.446 Å, with angles of 90.00, 103.96 and 90.00 degrees. The distinct sites, in fractional coordinates, are Sr at (0.120, 0.000, 0.344), Al at (0.163, 0.500, 0.882), O at (0.003, 0.500, 0.884), O at (0.158, 0.500, 0.606) and O at (0.178, 0.000, 0.987).

---

Entry from the Alexandria database: SrAl2O4 after structural relaxation (PBE).

The value obtained for the formation energy without anion corrections is -2750 meV/atom.

The space group is I4_1/amd (No. 141, origin choice 2) and the conventional cell measures 6.188, 6.188 and 8.732 Å, with angles of 90.00, 90.00 and 90.00 degrees. The distinct sites, in fractional coordinates, are Sr at (0.000, 0.250, 0.375), Al at (0.000, 0.000, 0.000) and O at (0.000, 0.048, 0.774).

---

Entry from the Alexandria database: SrAlO3 after structural relaxation (PBE).

The value obtained for the formation energy without anion corrections is -1405 meV/atom.

The space group is I-4m2 (No. 119) and the conventional cell measures 3.597, 3.597 and 22.491 Å, with angles of 90.00, 90.00 and 90.00 degrees. The distinct sites, in fractional coordinates, are Sr at (0.000, 0.000, 0.000), Sr at (0.000, 0.500, 0.250), Al at (0.000, 0.500, 0.630), O at (0.000, 0.000, 0.319) and O at (0.000, 0.259, 0.100).